# 1
# VFe2Pd PBE optimized geometry
# * total moment: 11.738 μB per cell
# * formation energy from the elements: 37.6 kJ per mole of atoms
# * volume: 57 Å³/f.u.
# * DFT total energy: -7.419 eV per atom
# * density: 7779 kg/m³
data_VFe2Pd
_cell_length_a 3.635
_cell_length_b 3.635
_cell_length_c 17.391
_cell_angle_alpha 90.00
_cell_angle_beta 90.00
_cell_angle_gamma 90.00
_space_group_name_H-M_alt 'I -4 2 d'
_space_group_IT_number 122
_space_group_name_Hall 'I -4 2bw'
loop_
_atom_site_label
_atom_site_fract_x
_atom_site_fract_y
_atom_site_fract_z
V1 0.000 0.000 0.000
Fe1 0.230 0.250 0.125
Pd1 0.000 0.000 0.500

# 2
# ScCrRh2 PBE optimized geometry
# * total moment: 8.961 μB per cell
# * formation energy from the elements: -10.8 kJ per mole of atoms
# * volume: 63 Å³/f.u.
# * DFT total energy: -7.776 eV per atom
# * density: 8026 kg/m³
data_ScCrRh2
_cell_length_a 2.9541
_cell_length_b 2.9541
_cell_length_c 24.8669
_cell_angle_alpha 90.00
_cell_angle_beta 90.00
_cell_angle_gamma 120.00
_space_group_name_H-M_alt 'R -3 m'
_space_group_IT_number 166
_space_group_name_Hall '-R 3 2"'
loop_
_atom_site_label
_atom_site_fract_x
_atom_site_fract_y
_atom_site_fract_z
Sc1 0.0000 0.0000 0.0000
Cr1 0.0000 0.0000 0.5000
Rh1 0.0000 0.0000 0.2469